1.
The following is a DFT calculation (GGA-PBE) of a relaxed structure of KTi2Re.

Calculated values
E_form	1.3238	eV per atom
total magnetic moment	0.3	μB per formula unit

Cell lengths 6.1542, 6.1542, 14.3354 Å; angles 90.00, 90.00, 90.00 degrees
Space group I4_1/amd (No. 141, origin choice 2)
Inequivalent atoms, fractional coordinates:
K 0.0000 0.2500 0.3750 [4 per cell]
Ti 0.0000 0.0000 0.0000 [8 per cell]
Re 0.0000 0.2500 0.8750 [4 per cell]

2.
The following is a DFT calculation (GGA-PBE) of a relaxed structure of KTi3Re.

Calculated values
E_form	0.7457	eV per atom
total magnetic moment	1.8	μB per formula unit

Cell lengths 4.9426, 4.9426, 4.9426 Å; angles 90.00, 90.00, 90.00 degrees
Space group Pm-3m (No. 221)
Inequivalent atoms, fractional coordinates:
K 0.0000 0.0000 0.0000 [1 per cell]
Ti 0.0000 0.5000 0.5000 [3 per cell]
Re 0.5000 0.5000 0.5000 [1 per cell]

3.
The following is a DFT calculation (GGA-PBE) of a relaxed structure of KTlRe2.

Calculated values
E_form	0.7871	eV per atom
total magnetic moment	0.0	μB per formula unit

Cell lengths 8.1950, 3.0015, 8.2224 Å; angles 90.00, 95.21, 90.00 degrees
Space group Cm (No. 8)
Inequivalent atoms, fractional coordinates:
K 0.0000 0.0000 0.0000 [2 per cell]
Tl 0.2386 0.0000 0.6646 [2 per cell]
Re 0.0002 0.5000 0.4215 [2 per cell]
Re 0.2714 0.5000 0.3176 [2 per cell]